The following is a GGA-PBEsol calculation of crystalline TeMoPt2 at its relaxed geometry, from Alexandria via LeMat-Bulk.

Output
DFT total energy in eV per atom: -7.18
Raw formation energy in eV per atom: 0.121
Crystal system: orthorhombic

Lattice parameters (Å, degrees): 2.9680 4.0369 5.6340 90.00 90.00 90.00
Element x y z (fractional)
Te  0.0000  0.0000  0.0000
Mo  0.0000  0.0000  0.5000
Pt  0.5000  0.5000  0.2694
Pt  0.5000  0.5000  0.7306

The following is a GGA-PBEsol calculation of crystalline CdIr2Os at its relaxed geometry, from Alexandria via LeMat-Bulk.

Output
DFT total energy in eV per atom: -8.20
Crystal system: tetragonal
Calculated formation energy in eV per atom: 0.068

Lattice parameters (Å, degrees): 2.7634 2.7634 7.9169 90.00 90.00 90.00
Element x y z (fractional)
Cd  0.0000  0.0000  0.0000
Ir  0.5000  0.5000  0.2727
Ir  0.5000  0.5000  0.7273
Os  0.0000  0.0000  0.5000

The following is a GGA-PBEsol calculation of crystalline ReSe3 at its relaxed geometry, from Alexandria via LeMat-Bulk.

Output
DFT total energy in eV per atom: -6.11
Raw formation energy in eV per atom: 0.111
Crystal system: tetragonal

Lattice parameters (Å, degrees): 2.9393 2.9393 8.9183 90.00 90.00 90.00
Element x y z (fractional)
Re  0.0000  0.0000  0.0000
Se  0.0000  0.0000  0.5000
Se  0.5000  0.5000  0.1782
Se  0.5000  0.5000  0.8218

The following is a GGA-PBEsol calculation of crystalline Sb2Pb at its relaxed geometry, from Alexandria via LeMat-Bulk.

Output
DFT total energy in eV per atom: -4.30
Raw formation energy in eV per atom: 0.073
Crystal system: tetragonal

Lattice parameters (Å, degrees): 6.2294 6.2294 6.2294 143.85 143.85 52.06
Element x y z (fractional)
Sb  0.1854  0.1854  0.0000
Sb  0.8146  0.8146  0.0000
Pb  0.5000  0.5000  0.0000

The following is a GGA-PBEsol calculation of crystalline In3C at its relaxed geometry, from Alexandria via LeMat-Bulk.

Output
DFT total energy in eV per atom: -3.94
Crystal system: orthorhombic
Calculated formation energy in eV per atom: 0.711

Lattice parameters (Å, degrees): 5.3704 5.3704 3.4488 90.00 90.00 125.06
Element x y z (fractional)
In  0.0000  0.0000  0.0000
In  0.3326  0.6674  0.5000
In  0.6674  0.3326  0.5000
C  0.5000  0.5000  0.0000

The following is a GGA-PBEsol calculation of crystalline Ta2AgHg at its relaxed geometry, from Alexandria via LeMat-Bulk.

Output
DFT total energy in eV per atom: -7.11
Crystal system: tetragonal
Calculated formation energy in eV per atom: 0.136

Lattice parameters (Å, degrees): 2.8289 2.8289 8.9397 90.00 90.00 90.00
Element x y z (fractional)
Ta  0.0000  0.0000  0.0000
Ta  0.5000  0.5000  0.2488
Ag  0.0000  0.0000  0.4902
Hg  0.5000  0.5000  0.7433

The following is a GGA-PBEsol calculation of crystalline MgTlIn2 at its relaxed geometry, from Alexandria via LeMat-Bulk.

Output
DFT total energy in eV per atom: -2.62
Crystal system: orthorhombic
Calculated formation energy in eV per atom: -0.040

Lattice parameters (Å, degrees): 5.6598 5.6598 3.3163 90.00 90.00 111.05
Element x y z (fractional)
Mg  0.0000  0.0000  0.0000
Tl  0.5000  0.5000  0.0000
In  0.0000  0.5000  0.5000
In  0.5000  0.0000  0.5000

The following is a GGA-PBEsol calculation of crystalline MgZrCu at its relaxed geometry, from Alexandria via LeMat-Bulk.

Output
DFT total energy in eV per atom: -5.08
Crystal system: tetragonal
Calculated formation energy in eV per atom: -0.032

Lattice parameters (Å, degrees): 6.2415 6.2415 6.2415 152.02 152.02 39.99
Element x y z (fractional)
Mg  0.0000  0.0000  0.0000
Zr  0.7076  0.7076  0.0000
Cu  0.3567  0.3567  0.0000

Q: The lowest DFT total energy belongs to which entry?
A: CdIr2Os